# NaNdTe2Au | Alexandria | PBE-GGA | optimized geometry
# * density of states at the Fermi level: 6.094 states/eV/cell
# * DFT total energy: -3.96 eV/atom
data_NaNdTe2Au
_space_group_name_H-M_alt 'P 1 2/c 1'
_space_group_IT_number 13
_cell_length_a 7.842
_cell_length_b 4.904
_cell_length_c 8.341
_cell_angle_alpha 90.00
_cell_angle_beta 97.16
_cell_angle_gamma 90.00
loop_
_space_group_symop_operation_xyz
'x,y,z'
'-x,-y,-z'
'-x,y,-z+1/2'
'x,-y,z+1/2'
loop_
_atom_site_label
_atom_site_type_symbol
_atom_site_fract_x
_atom_site_fract_y
_atom_site_fract_z
_atom_site_occupancy
Na1 Na 0.000 0.136 0.250 1
Nd1 Nd 0.500 0.496 0.750 1
Te1 Te 0.211 0.322 0.970 1
Au1 Au 0.500 0.000 0.000 1